i.
A relaxed TlSN2 crystal, computed with GGA-PBE.

Cell lengths 3.8052, 2.7288, 7.6528 Å; angles 100.27, 104.40, 90.00 degrees
Last column: nearest neighbours and their distance in Å.
Element x y z (fractional)
Tl 0.4096 0.4096 0.8192  2 N 2.19
S 0.1614 0.6614 0.3227  2 N 1.68
N 0.0943 0.0943 0.1886  2 S 1.68
N 0.8348 0.3348 0.6695  2 Tl 2.19

Values from the calculation:
Density of states at the Fermi level   1.8 states/eV per cell
Size of the total moment   0.000 μB/cell


ii.
A relaxed TlSN2 crystal, computed with GGA-PBE.

Cell lengths 7.6496, 7.6496, 7.6496 Å; angles 21.98, 21.98, 21.98 degrees
Last column: nearest neighbours and their distance in Å.
Element x y z (fractional)
S 0.5000 0.5000 0.5000  6 N 1.95
Tl 0.0000 0.0000 0.0000  2 N 2.75, 6 Tl 2.92
N 0.1226 0.1226 0.1226  3 S 1.95
N 0.8774 0.8774 0.8774  3 S 1.95

Values from the calculation:
Density of states at the Fermi level   1.3 states/eV per cell
Size of the total moment   0.000 μB/cell


iii.
A relaxed TlSN2 crystal, computed with GGA-PBE.

Cell lengths 4.7357, 4.7357, 6.4727 Å; angles 68.54, 68.54, 90.00 degrees
Last column: nearest neighbours and their distance in Å.
Element x y z (fractional)
S 0.5000 0.5000 0.0000  4 N 2.01
S 0.2500 0.7500 0.5000  4 N 2.01
Tl 0.7500 0.2500 0.5000  4 N 2.38
Tl 0.0000 0.0000 0.0000  4 N 2.38
N 0.5532 0.1250 0.2500  2 S 2.01
N 0.1968 0.6250 0.2500  2 S 2.01
N 0.3750 0.4468 0.7500  2 S 2.01
N 0.8750 0.8032 0.7500  2 S 2.01

Values from the calculation:
Density of states at the Fermi level   1.3 states/eV per cell
Size of the total moment   0.000 μB/cell


iv.
A relaxed TlSN2 crystal, computed with GGA-PBE.

Cell lengths 6.6841, 6.6841, 6.6841 Å; angles 37.72, 37.72, 37.72 degrees
Last column: nearest neighbours and their distance in Å.
Element x y z (fractional)
S 0.0000 0.0000 0.0000  2 N 1.51
Tl 0.5000 0.5000 0.5000  6 N 2.96
N 0.9186 0.9186 0.9186  1 S 1.51
N 0.0814 0.0814 0.0814  1 S 1.51

Values from the calculation:
Density of states at the Fermi level   0.7 states/eV per cell
Size of the total moment   0.956 μB/cell


Stability summary - winner: iv; margin: 359 meV per atom.


i.
A relaxed Tl3SN crystal, computed with GGA-PBE.

Cell lengths 4.9801, 4.9801, 4.9801 Å; angles 90.00, 90.00, 90.00 degrees
Last column: nearest neighbours and their distance in Å.
Element x y z (fractional)
S 0.5000 0.5000 0.5000  12 Tl 3.52
Tl 0.0000 0.0000 0.5000  2 N 2.49
Tl 0.5000 0.0000 0.0000  2 N 2.49
Tl 0.0000 0.5000 0.0000  2 N 2.49
N 0.0000 0.0000 0.0000  6 Tl 2.49

Values from the calculation:
Density of states at the Fermi level   1.4 states/eV per cell
Size of the total moment   0.000 μB/cell


ii.
A relaxed Tl3SN crystal, computed with GGA-PBE.

Cell lengths 3.8068, 7.0448, 10.4878 Å; angles 102.54, 90.09, 74.45 degrees
Last column: nearest neighbours and their distance in Å.
Element x y z (fractional)
Tl 0.2312 0.0576 0.1872  2 N 2.64-2.65
Tl 0.8784 0.7601 0.8997  2 N 2.61-2.62
Tl 0.1369 0.2422 0.8673  2 N 2.64-2.65
Tl 0.8495 0.8215 0.4319  1 N 2.15
Tl 0.4897 0.5398 0.1547  2 N 2.61-2.62
Tl 0.5187 0.4783 0.6226  1 N 2.15
N 0.8574 0.8062 0.2247  1 Tl 2.15
N 0.5106 0.4937 0.8298  1 Tl 2.15
S 0.3104 0.9022 0.6047  2 Tl 2.60
S 0.0577 0.3976 0.4498  2 Tl 2.60

Values from the calculation:
Density of states at the Fermi level   0.7 states/eV per cell
Size of the total moment   0.000 μB/cell


Stability summary - winner: ii; margin: 145 meV per atom.


i.
A relaxed YTlS2N crystal, computed with GGA-PBE.

Cell lengths 5.1516, 5.1516, 4.1691 Å; angles 90.00, 90.00, 90.00 degrees
Last column: nearest neighbours and their distance in Å.
Element x y z (fractional)
Tl 0.0000 0.0000 0.0000  2 N 2.08
S 0.0000 0.5000 0.0000  2 Tl 2.58
S 0.5000 0.0000 0.0000  2 Tl 2.58
Y 0.5000 0.5000 0.5000  8 S 3.31, 4 N 3.64
N 0.0000 0.0000 0.5000  2 Tl 2.08

Values from the calculation:
Density of states at the Fermi level   3.6 states/eV per cell
Size of the total moment   0.983 μB/cell


ii.
A relaxed YTlS2N crystal, computed with GGA-PBE.

Cell lengths 5.3638, 5.3638, 4.6798 Å; angles 90.00, 90.00, 90.00 degrees
Last column: nearest neighbours and their distance in Å.
Element x y z (fractional)
S 0.5000 0.0000 0.0000  2 Y 2.68
S 0.0000 0.5000 0.0000  2 Y 2.68
N 0.0000 0.0000 0.5000  2 Y 2.34
Tl 0.5000 0.5000 0.5000  8 S 3.56, 4 N 3.79
Y 0.0000 0.0000 0.0000  2 N 2.34

Values from the calculation:
Density of states at the Fermi level   3.6 states/eV per cell
Size of the total moment   2.997 μB/cell


Stability summary - winner: ii; margin: 460 meV per atom.


i.
A relaxed TlZnSN2 crystal, computed with GGA-PBE.

Cell lengths 4.0273, 4.0273, 5.3814 Å; angles 90.00, 90.00, 90.00 degrees
Last column: nearest neighbours and their distance in Å.
Element x y z (fractional)
N 0.5000 0.0000 0.0000  2 Zn 2.01
N 0.0000 0.5000 0.0000  2 Zn 2.01
Tl 0.5000 0.5000 0.5000  4 S 2.85
Zn 0.0000 0.0000 0.0000  4 N 2.01
S 0.0000 0.0000 0.5000  2 Zn 2.69, 4 Tl 2.85

Values from the calculation:
Density of states at the Fermi level   2.1 states/eV per cell
Size of the total moment   3.468 μB/cell


ii.
A relaxed TlZnSN2 crystal, computed with GGA-PBE.

Cell lengths 4.2530, 4.2530, 5.7748 Å; angles 90.00, 90.00, 90.00 degrees
Last column: nearest neighbours and their distance in Å.
Element x y z (fractional)
S 0.0000 0.0000 0.5000  2 Tl 2.89, 4 Zn 3.01
N 0.0000 0.5000 0.0000  2 Tl 2.13
N 0.5000 0.0000 0.0000  2 Tl 2.13
Zn 0.5000 0.5000 0.5000  4 S 3.01
Tl 0.0000 0.0000 0.0000  4 N 2.13

Values from the calculation:
Density of states at the Fermi level   1.8 states/eV per cell
Size of the total moment   3.117 μB/cell


Stability summary - winner: i; margin: 509 meV per atom.


i.
A relaxed ZrTlSN2 crystal, computed with GGA-PBE.

Cell lengths 4.1921, 4.1921, 5.4486 Å; angles 90.00, 90.00, 90.00 degrees
Last column: nearest neighbours and their distance in Å.
Element x y z (fractional)
N 0.5000 0.0000 0.0000  2 Zr 2.10
N 0.0000 0.5000 0.0000  2 Zr 2.10
Zr 0.0000 0.0000 0.0000  4 N 2.10
Tl 0.5000 0.5000 0.5000  4 S 2.96
S 0.0000 0.0000 0.5000  2 Zr 2.72, 4 Tl 2.96

Values from the calculation:
Density of states at the Fermi level   4.1 states/eV per cell
Size of the total moment   0.780 μB/cell


ii.
A relaxed ZrTlSN2 crystal, computed with GGA-PBE.

Cell lengths 4.1446, 4.1446, 5.1539 Å; angles 90.00, 90.00, 90.00 degrees
Last column: nearest neighbours and their distance in Å.
Element x y z (fractional)
N 0.5000 0.0000 0.0000  2 Tl 2.07
N 0.0000 0.5000 0.0000  2 Tl 2.07
Zr 0.5000 0.5000 0.5000  4 S 2.93
S 0.0000 0.0000 0.5000  2 Tl 2.58
Tl 0.0000 0.0000 0.0000  4 N 2.07

Values from the calculation:
Density of states at the Fermi level   3.9 states/eV per cell
Size of the total moment   0.001 μB/cell


Stability summary - winner: i; margin: 1172 meV per atom.


i.
A relaxed ZrTlS2N crystal, computed with GGA-PBE.

Cell lengths 5.1480, 5.1480, 4.2866 Å; angles 90.00, 90.00, 90.00 degrees
Last column: nearest neighbours and their distance in Å.
Element x y z (fractional)
S 0.5000 0.0000 0.0000  2 Zr 2.57
S 0.0000 0.5000 0.0000  2 Zr 2.57
N 0.0000 0.0000 0.5000  2 Zr 2.14
Tl 0.5000 0.5000 0.5000  8 S 3.35, 4 N 3.64
Zr 0.0000 0.0000 0.0000  2 N 2.14

Values from the calculation:
Density of states at the Fermi level   2.9 states/eV per cell
Size of the total moment   1.945 μB/cell


ii.
A relaxed ZrTlS2N crystal, computed with GGA-PBE.

Cell lengths 5.0743, 5.0743, 4.0533 Å; angles 90.00, 90.00, 90.00 degrees
Last column: nearest neighbours and their distance in Å.
Element x y z (fractional)
Zr 0.5000 0.5000 0.5000  8 S 3.25, 4 N 3.59
S 0.5000 0.0000 0.0000  2 Tl 2.54
S 0.0000 0.5000 0.0000  2 Tl 2.54
N 0.0000 0.0000 0.5000  2 Tl 2.03
Tl 0.0000 0.0000 0.0000  2 N 2.03

Values from the calculation:
Density of states at the Fermi level   4.7 states/eV per cell
Size of the total moment   0.001 μB/cell


Stability summary - winner: i; margin: 1300 meV per atom.


i.
A relaxed Tm4S3N crystal, computed with GGA-PBE.

Cell lengths 5.2985, 5.2985, 5.2985 Å; angles 90.00, 90.00, 90.00 degrees
Last column: nearest neighbours and their distance in Å.
Element x y z (fractional)
Tm 0.0000 0.5000 0.0000  4 S 2.65, 2 N 2.65
Tm 0.5000 0.5000 0.5000  6 S 2.65
Tm 0.5000 0.0000 0.0000  4 S 2.65, 2 N 2.65
Tm 0.0000 0.0000 0.5000  4 S 2.65, 2 N 2.65
S 0.0000 0.5000 0.5000  6 Tm 2.65
S 0.5000 0.5000 0.0000  6 Tm 2.65
S 0.5000 0.0000 0.5000  6 Tm 2.65
N 0.0000 0.0000 0.0000  6 Tm 2.65

Values from the calculation:
Density of states at the Fermi level   2.5 states/eV per cell
Size of the total moment   0.000 μB/cell


ii.
A relaxed Tm4S3N crystal, computed with GGA-PBE.

Cell lengths 3.6880, 6.5275, 6.5275 Å; angles 108.73, 90.00, 90.00 degrees
Last column: nearest neighbours and their distance in Å.
Element x y z (fractional)
Tm 0.0000 0.7844 0.7844  2 N 2.47, 2 S 2.67
Tm 0.0000 0.2156 0.2156  2 N 2.47, 2 S 2.67
Tm 0.5000 0.7720 0.2280  1 N 2.42, 4 S 2.66
Tm 0.5000 0.2280 0.7720  1 N 2.42, 4 S 2.66
N 0.5000 0.0000 0.0000  6 Tm 2.42-2.47
S 0.0000 0.5000 0.0000  6 Tm 2.66-2.67
S 0.5000 0.5000 0.5000  6 Tm 2.84-2.89
S 0.0000 0.0000 0.5000  6 Tm 2.66-2.67

Values from the calculation:
Density of states at the Fermi level   2.9 states/eV per cell
Size of the total moment   0.000 μB/cell


Stability summary - winner: ii; margin: 133 meV per atom.


i.
A relaxed U2SN crystal, computed with GGA-PBE.

Cell lengths 3.6698, 3.6698, 7.8263 Å; angles 76.44, 76.44, 60.00 degrees
Last column: nearest neighbours and their distance in Å.
Element x y z (fractional)
N 0.0000 0.0000 0.0000  2 U 2.01
S 0.5000 0.5000 0.5000  6 U 2.76
U 0.0887 0.0887 0.7338  1 N 2.01
U 0.9113 0.9113 0.2662  1 N 2.01

Values from the calculation:
Density of states at the Fermi level   11.0 states/eV per cell
Size of the total moment   4.907 μB/cell


ii.
A relaxed U2SN crystal, computed with GGA-PBE.

Cell lengths 3.6154, 3.6154, 6.4729 Å; angles 73.78, 73.78, 60.00 degrees
Last column: nearest neighbours and their distance in Å.
Element x y z (fractional)
S 0.6689 0.6689 0.9932  6 U 2.75-2.81
N 0.4981 0.4981 0.5056  6 U 2.40-2.44
U 0.0998 0.0998 0.7005  3 N 2.40, 1 U 2.45
U 0.2331 0.2331 0.3006  3 N 2.44, 1 U 2.45

Values from the calculation:
Density of states at the Fermi level   6.0 states/eV per cell
Size of the total moment   0.007 μB/cell


Stability summary - winner: ii; margin: 409 meV per atom.


i.
A relaxed U2SN crystal, computed with GGA-PBE.

Cell lengths 3.2008, 3.2008, 6.4491 Å; angles 90.00, 90.00, 90.00 degrees
Last column: nearest neighbours and their distance in Å.
Element x y z (fractional)
N 0.5000 0.5000 0.0000  8 U 2.67
U 0.0000 0.0000 0.2193  4 N 2.67, 1 U 2.83, 4 S 2.90
U 0.0000 0.0000 0.7807  4 N 2.67, 1 U 2.83, 4 S 2.90
S 0.5000 0.5000 0.5000  8 U 2.90, 4 S 3.20, 2 N 3.22

Values from the calculation:
Density of states at the Fermi level   8.3 states/eV per cell
Size of the total moment   5.982 μB/cell


ii.
A relaxed U2SN crystal, computed with GGA-PBE.

Cell lengths 3.5250, 3.5250, 6.9197 Å; angles 75.24, 75.24, 60.00 degrees
Last column: nearest neighbours and their distance in Å.
Element x y z (fractional)
S 0.1901 0.1901 0.4296  6 U 2.80-2.85
U 0.7602 0.7602 0.7195  3 N 2.44
U 0.9574 0.9574 0.1279  3 N 2.45
N 0.3591 0.3591 0.9227  6 U 2.44-2.45

Values from the calculation:
Density of states at the Fermi level   6.9 states/eV per cell
Size of the total moment   4.784 μB/cell


Stability summary - winner: ii; margin: 509 meV per atom.


i.
A relaxed USN crystal, computed with GGA-PBE.

Cell lengths 3.7259, 3.7259, 4.0425 Å; angles 90.00, 90.00, 120.00 degrees
Last column: nearest neighbours and their distance in Å.
Element x y z (fractional)
S 0.0000 0.0000 0.0000  6 U 2.95, 6 N 2.95
U 0.6667 0.3333 0.4999  3 N 2.15
N 0.3333 0.6667 0.5000  3 U 2.15

Values from the calculation:
Density of states at the Fermi level   2.7 states/eV per cell
Size of the total moment   0.928 μB/cell


ii.
A relaxed USN crystal, computed with GGA-PBE.

Cell lengths 3.7727, 4.0958, 9.4339 Å; angles 90.00, 100.53, 90.00 degrees
Last column: nearest neighbours and their distance in Å.
Element x y z (fractional)
U 0.3058 0.2500 0.1221  4 N 2.26-2.30
U 0.6942 0.7500 0.8779  4 N 2.26-2.30
S 0.8929 0.2500 0.3127  2 U 2.59
S 0.1071 0.7500 0.6873  2 U 2.59
N 0.7408 0.2500 0.9800  4 U 2.26-2.30
N 0.2592 0.7500 0.0200  4 U 2.26-2.30

Values from the calculation:
Density of states at the Fermi level   8.5 states/eV per cell
Size of the total moment   2.007 μB/cell


Stability summary - winner: i; margin: 52 meV per atom.


i.
A relaxed USN crystal, computed with GGA-PBE.

Cell lengths 3.7548, 3.7548, 6.6744 Å; angles 90.00, 90.00, 90.00 degrees
Last column: nearest neighbours and their distance in Å.
Element x y z (fractional)
U 0.3135 0.3665 0.7340  4 N 2.25
U 0.8136 0.8665 0.1052  4 N 2.25
N 0.8136 0.3665 0.9196  4 U 2.25
N 0.3136 0.8665 0.9196  4 U 2.25
S 0.3136 0.3665 0.2878  5 U 2.92-2.98, 4 N 3.09, 4 S 3.18-3.19
S 0.8136 0.8664 0.5514  5 U 2.92-2.98, 4 N 3.09, 4 S 3.18-3.19

Values from the calculation:
Density of states at the Fermi level   7.5 states/eV per cell
Size of the total moment   1.979 μB/cell


ii.
A relaxed USN crystal, computed with GGA-PBE.

Cell lengths 4.1589, 4.1589, 4.1589 Å; angles 60.00, 60.00, 60.00 degrees
Last column: nearest neighbours and their distance in Å.
Element x y z (fractional)
U 0.2500 0.2500 0.2500  4 N 2.55, 4 S 2.55
N 0.5000 0.5000 0.5000  4 U 2.55
S 0.0000 0.0000 0.0000  4 U 2.55

Values from the calculation:
Density of states at the Fermi level   4.5 states/eV per cell
Size of the total moment   1.009 μB/cell


iii.
A relaxed USN crystal, computed with GGA-PBE.

Cell lengths 3.2219, 3.2219, 5.2095 Å; angles 108.01, 108.01, 90.00 degrees
Last column: nearest neighbours and their distance in Å.
Element x y z (fractional)
U 0.7077 0.7077 0.4154  4 N 2.37
S 0.0160 0.0160 0.0319  1 N 2.44
N 0.2763 0.2763 0.5527  4 U 2.37, 1 S 2.44

Values from the calculation:
Density of states at the Fermi level   4.1 states/eV per cell
Size of the total moment   0.932 μB/cell


Stability summary - winner: i; margin: 665 meV per atom.


i.
A relaxed VS3N crystal, computed with GGA-PBE.

Cell lengths 4.0900, 4.0900, 4.0900 Å; angles 90.00, 90.00, 90.00 degrees
Last column: nearest neighbours and their distance in Å.
Element x y z (fractional)
S 0.5000 0.0000 0.0000  2 N 2.04
S 0.0000 0.5000 0.0000  2 N 2.04
S 0.0000 0.0000 0.5000  2 N 2.04
N 0.0000 0.0000 0.0000  6 S 2.04
V 0.5000 0.5000 0.5000  12 S 2.89

Values from the calculation:
Density of states at the Fermi level   4.8 states/eV per cell
Size of the total moment   1.768 μB/cell


ii.
A relaxed VS3N crystal, computed with GGA-PBE.

Cell lengths 4.5618, 4.5618, 4.5618 Å; angles 90.00, 90.00, 90.00 degrees
Last column: nearest neighbours and their distance in Å.
Element x y z (fractional)
V 0.0000 0.0000 0.0000  6 S 2.28
S 0.5000 0.0000 0.0000  2 V 2.28
S 0.0000 0.5000 0.0000  2 V 2.28
S 0.0000 0.0000 0.5000  2 V 2.28
N 0.5000 0.5000 0.5000  12 S 3.23

Values from the calculation:
Density of states at the Fermi level   1.9 states/eV per cell
Size of the total moment   2.734 μB/cell


Stability summary - winner: i; margin: 44 meV per atom.